## Mg2H6Ir (GGA-PBE)

Data for crystalline Mg2H6Ir at its relaxed geometry.

abc: 4.6368 4.6368 6.3499
angles: 90.26 90.26 49.20
Positions (direct):
Mg  0.0000  0.0000  0.0000
Mg  0.0797  0.0797  0.4525
H  0.0697  0.0697  0.7368
H  0.2005  0.2005  0.1559
H  0.3260  0.3260  0.5109
H  0.4401  0.4401  0.0021
H  0.5698  0.5698  0.3457
H  0.8640  0.8640  0.2717
Ir  0.3829  0.3829  0.2596

Calculated values
As for the space group: Cm (8). As for the total energy: -34.30 eV for the cell shown.

=====

## MgH2Ir (GGA-PBE)

Data for crystalline MgH2Ir at its relaxed geometry.

abc: 3.1131 11.5477 4.4692
angles: 90.00 90.00 90.00
Positions (direct):
Mg  0.0000  0.1283  0.2500
Mg  0.0000  0.8717  0.7500
Mg  0.5000  0.3717  0.7500
Mg  0.5000  0.6283  0.2500
H  0.0000  0.3136  0.0322
H  0.0000  0.3136  0.4678
H  0.0000  0.6864  0.5322
H  0.0000  0.6864  0.9678
H  0.5000  0.1864  0.5322
H  0.5000  0.1864  0.9678
H  0.5000  0.8136  0.0322
H  0.5000  0.8136  0.4678
Ir  0.0000  0.4297  0.2500
Ir  0.0000  0.5703  0.7500
Ir  0.5000  0.0703  0.7500
Ir  0.5000  0.9297  0.2500

Calculated values
As for the space group: Cmcm (63). As for the total energy: -71.70 eV for the cell shown.

=====

## Mg6HIr (GGA-PBE)

Data for crystalline Mg6HIr at its relaxed geometry.

abc: 5.4415 5.4428 5.6082
angles: 90.08 90.12 119.20
Positions (direct):
Mg  0.0000  0.0000  0.0000
Mg  0.0018  0.4856  0.2682
Mg  0.3298  0.6522  0.7785
Mg  0.4851  0.0023  0.2693
Mg  0.6496  0.3312  0.7776
Mg  0.9341  0.9349  0.5031
H  0.3879  0.3913  0.4773
Ir  0.5104  0.5110  0.2039

Calculated values
As for the space group: P1 (1). As for the total energy: -23.04 eV for the cell shown.

=====

## Mg3H6Ir (GGA-PBE)

Data for crystalline Mg3H6Ir at its relaxed geometry.

abc: 4.3375 5.0810 5.6808
angles: 63.44 88.89 87.66
Positions (direct):
Mg  0.0000  0.0000  0.0000
Mg  0.0008  0.3017  0.3974
Mg  0.2871  0.6008  0.6975
H  0.0309  0.3663  0.0469
H  0.0308  0.7146  0.3504
H  0.5231  0.1810  0.9419
H  0.5230  0.4245  0.4549
H  0.5363  0.9783  0.4556
H  0.5372  0.7353  0.9404
Ir  0.5068  0.0812  0.6984

Calculated values
As for the space group: P1 (1). As for the total energy: -36.60 eV for the cell shown.